First-principles (PBE) data for ZnFe2Br after structural relaxation, as listed in Alexandria via LeMat-Bulk.

a = 4.4197 Å, b = 4.4197 Å, c = 4.4197 Å
α = 60.00°, β = 60.00°, γ = 60.00°
Last column: magnetic moment on the atom in μB.
Positions (direct):
Br1 0.5000 0.5000 0.5000  0.06
Fe1 0.0000 0.0000 0.0000  2.62
Fe2 0.7500 0.7500 0.7500  2.47
Zn1 0.2500 0.2500 0.2500  -0.08

Calculated values
VASP energy: -16.90 eV/cell
Total magnetic moment: 4.95 μB/f.u.
Formation energy from raw total energies: 0.743 eV/atom